Record 1
# RbZn2Pd2

RbZn2Pd2 after structural relaxation (PBE, Alexandria).

POSCAR file:
```
RbZn2Pd2
1.0
8.085 0.000 0.000
0.000 8.085 0.000
0.000 0.000 2.905
Rb Zn Pd
2 4 4
direct
0.500 0.500 0.000
0.000 0.000 0.000
0.625 0.125 0.000
0.375 0.875 0.000
0.125 0.375 0.000
0.875 0.625 0.000
0.839 0.339 0.500
0.161 0.661 0.500
0.661 0.839 0.500
0.339 0.161 0.500
```

Output
E above lowest polymorph = 25 meV/atom
Space group = P4/mbm, No. 127
Density = 7.5 g cm⁻³
Calculated formation energy = -0.150 eV per atom
Density of states at the Fermi level = 4.101 states/eV/cell

---

Record 2
# RbZnPd3

RbZnPd3 after structural relaxation (PBE, Alexandria).

POSCAR file:
```
RbZnPd3
1.0
4.848 0.000 0.000
0.000 4.848 0.000
0.000 0.000 4.848
Zn Rb Pd
1 1 3
direct
0.000 0.000 0.000
0.500 0.500 0.500
0.500 0.000 0.000
0.000 0.000 0.500
0.000 0.500 0.000
```

Output
E above lowest polymorph = 0 meV/atom
Space group = Pm-3m, No. 221
Density = 6.9 g cm⁻³
Calculated formation energy = 0.179 eV per atom
Density of states at the Fermi level = 1.924 states/eV/cell